(1)
Here is a relaxed LiHgSb crystal from the Alexandria database. Energies are from PBE.

a = 4.7639 Å, b = 4.7639 Å, c = 3.5660 Å
α = 90.00°, β = 90.00°, γ = 120.00°
Last column: nearest neighbours and their distance in Å.
Positions (direct):
Li 0.0000 0.0000 0.0000  3 Hg 2.89, 3 Sb 3.14
Hg 0.6667 0.3333 0.7496  3 Li 2.89, 3 Sb 2.99
Sb 0.3333 0.6667 0.4223  3 Hg 2.99, 3 Li 3.14

=====

(2)
Here is a relaxed LiHgSb crystal from the Alexandria database. Energies are from PBE.

a = 3.3617 Å, b = 3.3617 Å, c = 7.0983 Å
α = 90.00°, β = 90.00°, γ = 120.00°
Last column: nearest neighbours and their distance in Å.
Positions (direct):
Li 0.0000 0.0000 0.0000  3 Hg 2.83, 3 Sb 2.97
Hg 0.6667 0.3333 0.7093  3 Li 2.83
Sb 0.3333 0.6667 0.3161  3 Li 2.97

=====

Raw total energy, record by record: -2.269; -2.314 eV per atom